Material: Sr5Si2Br2
Method: DFT, GGA-PBE
State: relaxed

- ρ (g cm⁻³) = 3.52
- uncorrected formation energy (eV per atom) = -0.820

Cell: 10.120 10.120 8.174 Å, 90.00 90.00 47.57°
Fractional positions:
Sr  0.000  0.000  0.000
Sr  0.057  0.702  0.676
Sr  0.202  0.557  0.176
Sr  0.298  0.943  0.676
Sr  0.443  0.798  0.176
Sr  0.500  0.500  0.500
Sr  0.557  0.202  0.824
Sr  0.702  0.057  0.324
Sr  0.798  0.443  0.824
Sr  0.943  0.298  0.324
Si  0.109  0.891  0.391
Si  0.391  0.609  0.891
Si  0.609  0.391  0.109
Si  0.891  0.109  0.609
Br  0.248  0.248  0.000
Br  0.252  0.252  0.500
Br  0.748  0.748  0.500
Br  0.752  0.752  0.000

Material: Ac2LaCd2Sn2
Method: DFT, GGA-PBE
State: relaxed

- ΔH_f (0 K) (meV per atom) = -360
- ρ (g cm⁻³) = 7.27

Cell: 12.493 12.493 12.493 Å, 22.05 22.05 22.05°
Fractional positions:
Ac  0.123  0.123  0.123
Ac  0.877  0.877  0.877
La  0.000  0.000  0.000
Cd  0.383  0.383  0.383
Cd  0.617  0.617  0.617
Sn  0.266  0.266  0.266
Sn  0.734  0.734  0.734

Material: PrCoS2
Method: DFT, GGA-PBE
State: relaxed

- ρ (g cm⁻³) = 5.21
- uncorrected formation energy (eV per atom) = -0.439

Cell: 3.528 3.528 23.432 Å, 90.00 90.00 120.00°
Fractional positions:
Pr  0.000  0.000  0.000
Pr  0.333  0.667  0.667
Pr  0.667  0.333  0.333
Co  0.000  0.000  0.500
Co  0.333  0.667  0.167
Co  0.667  0.333  0.833
S  0.000  0.000  0.120
S  0.000  0.000  0.880
S  0.333  0.667  0.546
S  0.333  0.667  0.787
S  0.667  0.333  0.213
S  0.667  0.333  0.454

Material: Ca2LaCl
Method: DFT, GGA-PBE
State: relaxed

- polymorph energy (0 for the lowest one) (meV/atom) = 93
- ρ (g cm⁻³) = 3.19
- uncorrected formation energy (eV per atom) = -0.717

Cell: 6.369 3.691 6.466 Å, 90.00 119.37 90.00°
Fractional positions:
Ca  0.190  0.000  0.380
Ca  0.810  0.000  0.620
La  0.500  0.500  0.000
Cl  0.000  0.500  0.000

| no. | electronic total energy (eV per cell) |
| --- | --- |
| 1 | -59.96 |
| 2 | -25.50 |
| 3 | -65.69 |
| 4 | -13.65 |